Computed, not measured: an optimized crystal structure of CdMoOs2 at the GGA-PBE level of DFT.

Cell lengths 2.7861, 4.2475, 5.6106 Å; angles 90.00, 101.45, 90.00 degrees
Fractional positions:
1 Cd 0.0000 0.0000 0.0000
2 Mo 0.0000 0.0000 0.5000
3 Os 0.3909 0.5000 0.7258
4 Os 0.6091 0.5000 0.2742

Calculated values
ΔH_f (0 K) in eV/f.u.: 2.20
Total moment in μB/f.u.: 0.00

***

Computed, not measured: an optimized crystal structure of CsInN2 at the GGA-PBE level of DFT.

Cell lengths 7.4436, 7.4436, 7.4436 Å; angles 137.27, 137.27, 62.03 degrees
Fractional positions:
1 Cs 0.0000 0.0000 0.0000
2 Cs 0.7500 0.2500 0.5000
3 In 0.2500 0.7500 0.5000
4 In 0.5000 0.5000 0.0000
5 N 0.3067 0.6250 0.1817
6 N 0.3750 0.5567 0.6817
7 N 0.4433 0.1250 0.8183
8 N 0.8750 0.6933 0.3183

Calculated values
Final energy in eV per atom: -4.158
Total moment in μB/f.u.: 0.00